Compound: ScSiTe2I
Source: the Alexandria database
Functional: SCAN
Structure: PBEsol geometry

Cell lengths 5.2684, 5.2684, 5.1767 Å; angles 90.00, 90.00, 90.00 degrees
Last column: nearest neighbours and their distance in Å.
Positions (direct):
Sc (0.0000, 0.0000, 0.0000)  8 Te 3.69, 4 I 3.73
Si (0.5000, 0.5000, 0.5000)  2 I 2.59, 4 Te 2.63
Te (0.0000, 0.5000, 0.5000)  2 Si 2.63
Te (0.5000, 0.0000, 0.5000)  2 Si 2.63
I (0.5000, 0.5000, 0.0000)  2 Si 2.59

Output
M_tot	0.46	μB per cell
raw formation energy	83.6	kJ/mol of formula units